This record from Alexandria via LeMat-Bulk describes a relaxed TbEr12Tl6 crystal. The functional is PBE.

Properties
energy: -219.3 eV for the cell shown
crystal system: trigonal

```
data_TbEr12Tl6
_chemical_formula_sum 'Tb3 Er36 Tl18'
_symmetry_space_group_name_H-M 'R -3 m'
_symmetry_Int_Tables_number 166
_symmetry_space_group_name_Hall '-R 3 2"'
_cell_length_a 13.9466
_cell_length_b 13.9466
_cell_length_c 11.0453
_cell_angle_alpha 90.00
_cell_angle_beta 90.00
_cell_angle_gamma 120.00
loop_
_atom_site_label
_atom_site_fract_x
_atom_site_fract_y
_atom_site_fract_z
Tb1 0.0000 0.0000 0.0000
Er1 0.0000 0.3693 0.5000
Er2 0.0881 0.1762 0.3582
Tl1 0.0324 0.5162 0.2789
```